VASP calculation (PBE) on crystalline SmInSb at its relaxed geometry.

The structure in extended XYZ format:
```
3
Lattice="-2.829 2.813 -0.268 -1.178 -0.727 4.805 3.475 3.376 -1.239" Properties=species:S:1:pos:R:3 pbc="T T T"
Sb 1.286 2.643 0.715
Sm -1.543 2.545 2.609
In -0.275 0.273 -0.026
```

Summary:
Energy relative to the elements, uncorrected (eV per atom): -0.4105



VASP calculation (PBE) on crystalline SmInSb2 at its relaxed geometry.

The structure in extended XYZ format:
```
8
Lattice="-2.772 -2.111 -2.669 1.507 -3.852 1.469 -8.375 0.055 8.686" Properties=species:S:1:pos:R:3 pbc="T T T"
Sm -7.928 -5.913 5.713
Sm -1.712 0.005 1.773
In -3.711 -3.405 4.815
In -5.929 -2.503 2.671
Sb -3.030 -2.974 1.883
Sb -6.610 -2.934 5.602
Sb -1.386 -1.056 -1.334
Sb 0.754 -1.926 0.734
```

Summary:
Energy relative to the elements, uncorrected (eV per atom): -0.5335
Excess energy over the best structure of this formula in the dataset (eV per atom): 0.000



no.,total magnetic moment (μB/cell)
1,0.0
2,0.0